## MgPd2Br8 (PBE)

Data for MgPd2Br8 after structural relaxation. Values from VASP.

- Magnetic moment: 0.00 μB per atom
- Formation energy from raw total energies: -11.83 kcal/mol of atoms

Structure (Quantum ESPRESSO input):
```
&SYSTEM
  ibrav = 0, nat = 11, ntyp = 3
/
ATOMIC_SPECIES
Br 79.90 Br.upf
Mg 24.30 Mg.upf
Pd 106.42 Pd.upf
CELL_PARAMETERS angstrom
-4.8195 -9.5715 2.1101
6.1768 3.0909 -0.1390
-5.6602 4.4704 7.3499
ATOMIC_POSITIONS crystal
Br 0.7252 0.4503 0.7166
Br 0.3058 0.2976 0.8885
Mg 0.0000 0.0000 0.0000
Br 0.6942 0.7024 0.1115
Br 0.2323 0.4646 0.6115
Br 0.7677 0.5354 0.3885
Br 0.9918 0.2976 0.8885
Br 0.2748 0.5497 0.2834
Pd 0.0165 0.0329 0.3287
Pd 0.9835 0.9671 0.6713
Br 0.0082 0.7024 0.1115
```

***

## MgPdBr2 (PBE)

Data for MgPdBr2 after structural relaxation. Values from VASP.

- Magnetic moment: 0.00 μB per atom
- Formation energy from raw total energies: -13.31 kcal/mol of atoms

Structure (Quantum ESPRESSO input):
```
&SYSTEM
  ibrav = 0, nat = 4, ntyp = 3
/
ATOMIC_SPECIES
Br 79.90 Br.upf
Mg 24.30 Mg.upf
Pd 106.42 Pd.upf
CELL_PARAMETERS angstrom
2.2071 0.0000 8.0142
-1.1036 1.9114 8.0142
-1.1036 -1.9114 8.0142
ATOMIC_POSITIONS crystal
Br 0.1030 0.1030 0.1030
Br 0.8970 0.8970 0.8970
Mg 0.5000 0.5000 0.5000
Pd 0.0000 0.0000 0.0000
```

***

## MgPdBr2 (PBE)

Data for MgPdBr2 after structural relaxation. Values from VASP.

- Magnetic moment: 0.00 μB per atom
- Formation energy from raw total energies: -8.48 kcal/mol of atoms

Structure (Quantum ESPRESSO input):
```
&SYSTEM
  ibrav = 0, nat = 4, ntyp = 3
/
ATOMIC_SPECIES
Br 79.90 Br.upf
Mg 24.30 Mg.upf
Pd 106.42 Pd.upf
CELL_PARAMETERS angstrom
4.1768 -1.0108 -2.3498
1.5896 -4.6236 -0.2900
-0.1128 -2.3640 -4.2880
ATOMIC_POSITIONS crystal
Br 0.7500 0.7500 0.7500
Br 0.2500 0.2500 0.2500
Mg 0.0000 0.0000 0.0000
Pd 0.5000 0.5000 0.5000
```

***

## Mg2PdBr (PBE)

Data for Mg2PdBr after structural relaxation. Values from VASP.

- Magnetic moment: 0.00 μB per atom
- Formation energy from raw total energies: -8.71 kcal/mol of atoms

Structure (Quantum ESPRESSO input):
```
&SYSTEM
  ibrav = 0, nat = 8, ntyp = 3
/
ATOMIC_SPECIES
Br 79.90 Br.upf
Mg 24.30 Mg.upf
Pd 106.42 Pd.upf
CELL_PARAMETERS angstrom
-3.4665 4.8146 3.8961
-5.6560 -4.2803 0.2571
-3.2343 -1.2992 5.1928
ATOMIC_POSITIONS crystal
Br 0.5000 0.5000 0.0000
Br 0.2500 0.7500 0.5000
Mg 0.6422 0.1250 0.2500
Pd 0.0000 0.0000 0.0000
Mg 0.8750 0.8922 0.7500
Mg 0.1078 0.6250 0.2500
Mg 0.3750 0.3578 0.7500
Pd 0.7500 0.2500 0.5000
```

***

- What is the formula in the fourth record?
  Mg2PdBr